Entry 1:
! PBE TbGa4Ir2Pd, relaxed; values from VASP
! Uncorrected energy   -0.4060 Ry/atom
! Total moment   0.00 μB/f.u.
&SYSTEM
  ibrav = 0, nat = 8, ntyp = 4
/
ATOMIC_SPECIES
Tb 158.93 Tb.upf
Ga 69.72 Ga.upf
Ir 192.22 Ir.upf
Pd 106.42 Pd.upf
ATOMIC_POSITIONS crystal
Tb 0.000 0.000 0.000
Ga 0.397 0.397 0.808
Ga 0.870 0.870 0.389
Ga 0.130 0.130 0.611
Ga 0.603 0.603 0.192
Ir 0.764 0.764 0.708
Ir 0.236 0.236 0.292
Pd 0.500 0.500 0.500
CELL_PARAMETERS angstrom
-0.999 4.148 0.426
-1.074 2.311 -3.448
-8.876 0.063 0.141

---

Entry 2:
! PBE Tb2Ga4IrPd3, relaxed; values from VASP
! Uncorrected energy   -0.3933 Ry/atom
! Total moment   0.00 μB/f.u.
&SYSTEM
  ibrav = 0, nat = 10, ntyp = 4
/
ATOMIC_SPECIES
Tb 158.93 Tb.upf
Ga 69.72 Ga.upf
Ir 192.22 Ir.upf
Pd 106.42 Pd.upf
ATOMIC_POSITIONS crystal
Tb 0.500 0.000 0.259
Tb 0.000 0.500 0.741
Ga 0.500 0.500 0.000
Ga 0.000 0.000 0.000
Ga 0.500 0.000 0.630
Ga 0.000 0.500 0.370
Ir 0.500 0.500 0.500
Pd 0.000 0.000 0.500
Pd 0.500 0.000 0.863
Pd 0.000 0.500 0.137
CELL_PARAMETERS angstrom
-0.345 -3.229 2.648
3.915 0.675 1.332
-3.678 6.541 7.497

---

Entry 3:
! PBE TbGaIrPd, relaxed; values from VASP
! Uncorrected energy   -0.4474 Ry/atom
! Total moment   0.00 μB/f.u.
&SYSTEM
  ibrav = 0, nat = 4, ntyp = 4
/
ATOMIC_SPECIES
Ir 192.22 Ir.upf
Tb 158.93 Tb.upf
Ga 69.72 Ga.upf
Pd 106.42 Pd.upf
ATOMIC_POSITIONS crystal
Ir 0.250 0.250 0.250
Tb 0.000 0.000 0.000
Ga 0.500 0.500 0.500
Pd 0.750 0.750 0.750
CELL_PARAMETERS angstrom
-3.430 -3.063 -0.705
-0.496 -3.636 2.860
-3.603 -0.174 2.938

---

Entry 4:
! PBE Th2Ga3Ir4Pd, relaxed; values from VASP
! Uncorrected energy   -0.5253 Ry/atom
! Total moment   0.00 μB/f.u.
&SYSTEM
  ibrav = 0, nat = 10, ntyp = 4
/
ATOMIC_SPECIES
Th 232.04 Th.upf
Ga 69.72 Ga.upf
Ir 192.22 Ir.upf
Pd 106.42 Pd.upf
ATOMIC_POSITIONS crystal
Th 0.500 0.000 0.253
Th 0.000 0.500 0.747
Ga 0.000 0.000 0.500
Ga 0.500 0.000 0.876
Ga 0.000 0.500 0.124
Ir 0.500 0.500 0.000
Ir 0.000 0.000 0.000
Ir 0.500 0.000 0.657
Ir 0.000 0.500 0.343
Pd 0.500 0.500 0.500
CELL_PARAMETERS angstrom
4.114 0.000 0.000
0.000 4.114 0.000
0.000 0.000 11.182

---

Entry 5:
! PBE ThGa2IrPd2, relaxed; values from VASP
! Uncorrected energy   -0.4380 Ry/atom
! Total moment   0.00 μB/f.u.
&SYSTEM
  ibrav = 0, nat = 6, ntyp = 4
/
ATOMIC_SPECIES
Th 232.04 Th.upf
Ga 69.72 Ga.upf
Ir 192.22 Ir.upf
Pd 106.42 Pd.upf
ATOMIC_POSITIONS crystal
Th 0.000 0.000 0.500
Ga 0.500 0.000 0.000
Ga 0.000 0.500 0.000
Ir 0.000 0.000 0.000
Pd 0.500 0.500 0.742
Pd 0.500 0.500 0.258
CELL_PARAMETERS angstrom
4.746 0.000 0.000
0.000 4.746 0.000
0.000 0.000 5.474

---

Entry 6:
! PBE Th2Ga4Ir3Pd, relaxed; values from VASP
! Uncorrected energy   -0.4871 Ry/atom
! Total moment   0.00 μB/f.u.
&SYSTEM
  ibrav = 0, nat = 10, ntyp = 4
/
ATOMIC_SPECIES
Th 232.04 Th.upf
Ga 69.72 Ga.upf
Ir 192.22 Ir.upf
Pd 106.42 Pd.upf
ATOMIC_POSITIONS crystal
Th 0.500 0.000 0.244
Th 0.000 0.500 0.756
Ga 0.500 0.500 0.000
Ga 0.000 0.000 0.000
Ga 0.500 0.000 0.628
Ga 0.000 0.500 0.372
Ir 0.000 0.000 0.500
Ir 0.500 0.000 0.862
Ir 0.000 0.500 0.138
Pd 0.500 0.500 0.500
CELL_PARAMETERS angstrom
-2.101 -3.435 1.304
1.948 0.232 3.750
-7.796 6.160 3.669

---

Entry 7:
! PBE ThGa4IrPd2, relaxed; values from VASP
! Uncorrected energy   -0.3986 Ry/atom
! Total moment   0.00 μB/f.u.
&SYSTEM
  ibrav = 0, nat = 8, ntyp = 4
/
ATOMIC_SPECIES
Th 232.04 Th.upf
Ga 69.72 Ga.upf
Ir 192.22 Ir.upf
Pd 106.42 Pd.upf
ATOMIC_POSITIONS crystal
Th 0.000 0.000 0.000
Ga 0.401 0.401 0.798
Ga 0.867 0.867 0.400
Ga 0.133 0.133 0.600
Ga 0.599 0.599 0.202
Ir 0.500 0.500 0.500
Pd 0.763 0.763 0.710
Pd 0.237 0.237 0.290
CELL_PARAMETERS angstrom
4.303 0.000 0.000
2.151 3.726 0.000
2.151 1.242 8.881

---

Entry 8:
! PBE TiGaIrPd, relaxed; values from VASP
! Uncorrected energy   -0.5121 Ry/atom
! Total moment   0.00 μB/f.u.
&SYSTEM
  ibrav = 0, nat = 4, ntyp = 4
/
ATOMIC_SPECIES
Ti 47.87 Ti.upf
Ga 69.72 Ga.upf
Ir 192.22 Ir.upf
Pd 106.42 Pd.upf
ATOMIC_POSITIONS crystal
Ti 0.250 0.750 0.500
Ga 0.750 0.250 0.500
Ir 0.000 0.000 0.000
Pd 0.500 0.500 0.000
CELL_PARAMETERS angstrom
-0.842 -1.063 3.792
1.085 -3.791 -0.822
3.319 3.199 -0.505

---

Entry 9:
! PBE TmGaIrPd, relaxed; values from VASP
! Uncorrected energy   -0.4504 Ry/atom
! Total moment   0.00 μB/f.u.
&SYSTEM
  ibrav = 0, nat = 4, ntyp = 4
/
ATOMIC_SPECIES
Ir 192.22 Ir.upf
Tm 168.93 Tm.upf
Ga 69.72 Ga.upf
Pd 106.42 Pd.upf
ATOMIC_POSITIONS crystal
Ir 0.500 0.500 0.500
Tm 0.750 0.750 0.750
Ga 0.250 0.250 0.250
Pd 0.000 0.000 0.000
CELL_PARAMETERS angstrom
-0.717 3.774 2.533
-3.885 2.411 -0.513
-3.182 -0.030 3.323

---

Entry 10:
! PBE VGaIrPd, relaxed; values from VASP
! Uncorrected energy   -0.5071 Ry/atom
! Total moment   1.35 μB/f.u.
&SYSTEM
  ibrav = 0, nat = 4, ntyp = 4
/
ATOMIC_SPECIES
Ir 192.22 Ir.upf
Ga 69.72 Ga.upf
Pd 106.42 Pd.upf
V 50.94 V.upf
ATOMIC_POSITIONS crystal
Ir 0.000 0.000 0.000
Ga 0.250 0.250 0.250
Pd 0.500 0.500 0.500
V 0.750 0.750 0.750
CELL_PARAMETERS angstrom
4.350 0.000 0.000
2.175 3.767 0.000
2.175 1.256 3.552

---

Entry 11:
! PBE YGa4IrPd2, relaxed; values from VASP
! Uncorrected energy   -0.3912 Ry/atom
! Total moment   0.00 μB/f.u.
&SYSTEM
  ibrav = 0, nat = 8, ntyp = 4
/
ATOMIC_SPECIES
Y 88.91 Y.upf
Ga 69.72 Ga.upf
Ir 192.22 Ir.upf
Pd 106.42 Pd.upf
ATOMIC_POSITIONS crystal
Y 0.000 0.000 0.000
Ga 0.398 0.398 0.805
Ga 0.867 0.867 0.400
Ga 0.133 0.133 0.600
Ga 0.602 0.602 0.195
Ir 0.500 0.500 0.500
Pd 0.761 0.761 0.717
Pd 0.239 0.239 0.283
CELL_PARAMETERS angstrom
-2.185 1.115 -3.511
-1.625 -3.023 -2.562
-8.665 -0.577 2.596

---

Entry 12:
! PBE YGa3IrPd, relaxed; values from VASP
! Uncorrected energy   -0.3977 Ry/atom
! Total moment   0.00 μB/f.u.
&SYSTEM
  ibrav = 0, nat = 12, ntyp = 4
/
ATOMIC_SPECIES
Y 88.91 Y.upf
Ga 69.72 Ga.upf
Ir 192.22 Ir.upf
Pd 106.42 Pd.upf
ATOMIC_POSITIONS crystal
Y 0.750 0.193 0.386
Y 0.250 0.807 0.614
Ga 0.250 0.319 0.638
Ga 0.000 0.239 0.000
Ga 0.500 0.761 0.000
Ga 0.500 0.239 0.000
Ga 0.000 0.761 0.000
Ga 0.750 0.681 0.362
Ir 0.250 0.091 0.181
Ir 0.750 0.909 0.819
Pd 0.250 0.552 0.103
Pd 0.750 0.448 0.897
CELL_PARAMETERS angstrom
5.465 0.000 0.000
0.000 8.166 0.000
0.000 -4.083 5.417

---

Entry 13:
! PBE Zn3Ga3IrPd2, relaxed; values from VASP
! Uncorrected energy   -0.2905 Ry/atom
! Total moment   0.00 μB/f.u.
&SYSTEM
  ibrav = 0, nat = 9, ntyp = 4
/
ATOMIC_SPECIES
Zn 65.41 Zn.upf
Ga 69.72 Ga.upf
Ir 192.22 Ir.upf
Pd 106.42 Pd.upf
ATOMIC_POSITIONS crystal
Zn 0.000 0.617 0.617
Zn 0.000 0.000 0.383
Zn 0.000 0.383 0.000
Ga 0.500 0.713 0.000
Ga 0.500 0.000 0.713
Ga 0.500 0.287 0.287
Ir 0.000 0.000 0.000
Pd 0.500 0.667 0.333
Pd 0.500 0.333 0.667
CELL_PARAMETERS angstrom
3.055 0.000 0.000
0.000 7.222 0.000
0.000 -3.611 6.254

---

Entry 14:
! PBE ZrGaIrPd, relaxed; values from VASP
! Uncorrected energy   -0.5225 Ry/atom
! Total moment   0.00 μB/f.u.
&SYSTEM
  ibrav = 0, nat = 4, ntyp = 4
/
ATOMIC_SPECIES
Ga 69.72 Ga.upf
Ir 192.22 Ir.upf
Zr 91.22 Zr.upf
Pd 106.42 Pd.upf
ATOMIC_POSITIONS crystal
Ga 0.250 0.250 0.250
Ir 0.500 0.500 0.500
Zr 0.750 0.750 0.750
Pd 0.000 0.000 0.000
CELL_PARAMETERS angstrom
4.545 0.000 0.000
2.272 3.936 0.000
2.272 1.312 3.711

---

Entry 15:
! PBE ZrGaIrPd, relaxed; values from VASP
! Uncorrected energy   -0.5246 Ry/atom
! Total moment   0.00 μB/f.u.
&SYSTEM
  ibrav = 0, nat = 4, ntyp = 4
/
ATOMIC_SPECIES
Zr 91.22 Zr.upf
Ga 69.72 Ga.upf
Ir 192.22 Ir.upf
Pd 106.42 Pd.upf
ATOMIC_POSITIONS crystal
Zr 0.000 0.000 0.000
Ga 0.500 0.500 0.000
Ir 0.250 0.750 0.500
Pd 0.750 0.250 0.500
CELL_PARAMETERS angstrom
4.147 0.000 0.000
0.000 4.147 0.000
-2.073 -2.074 3.811

---

Entry 16:
! PBE Pm8Ga2Ir3, relaxed; values from VASP
! Uncorrected energy   -0.4342 Ry/atom
! Total moment   0.00 μB/f.u.
&SYSTEM
  ibrav = 0, nat = 13, ntyp = 3
/
ATOMIC_SPECIES
Pm 145.00 Pm.upf
Ga 69.72 Ga.upf
Ir 192.22 Ir.upf
ATOMIC_POSITIONS crystal
Pm 0.000 0.617 0.233
Pm 0.000 0.383 0.767
Pm 0.000 0.120 0.239
Pm 0.000 0.880 0.761
Pm 0.500 0.633 0.764
Pm 0.500 0.130 0.764
Pm 0.500 0.870 0.236
Pm 0.500 0.367 0.236
Ga 0.500 0.257 0.514
Ga 0.500 0.743 0.486
Ir 0.500 0.000 0.000
Ir 0.000 0.254 0.000
Ir 0.000 0.746 0.000
CELL_PARAMETERS angstrom
-1.313 -4.340 -2.100
5.505 -4.950 6.788
-8.470 2.092 0.975

---

Entry 17:
! PBE Pm2Ga3Ir2, relaxed; values from VASP
! Uncorrected energy   -0.4274 Ry/atom
! Total moment   0.00 μB/f.u.
&SYSTEM
  ibrav = 0, nat = 14, ntyp = 3
/
ATOMIC_SPECIES
Pm 145.00 Pm.upf
Ga 69.72 Ga.upf
Ir 192.22 Ir.upf
ATOMIC_POSITIONS crystal
Pm 0.160 0.250 0.320
Pm 0.840 0.750 0.680
Pm 0.937 0.250 0.873
Pm 0.063 0.750 0.127
Ga 0.225 0.750 0.450
Ga 0.775 0.250 0.550
Ga 0.560 0.427 0.121
Ga 0.440 0.573 0.879
Ga 0.440 0.927 0.879
Ga 0.560 0.073 0.121
Ir 0.690 0.949 0.379
Ir 0.310 0.051 0.621
Ir 0.310 0.449 0.621
Ir 0.690 0.551 0.379
CELL_PARAMETERS angstrom
0.242 -4.202 0.292
1.063 0.553 7.070
-9.270 1.672 1.263

---

Entry 18:
! PBE Pm7Ga2Ir2, relaxed; values from VASP
! Uncorrected energy   -0.4117 Ry/atom
! Total moment   0.00 μB/f.u.
&SYSTEM
  ibrav = 0, nat = 11, ntyp = 3
/
ATOMIC_SPECIES
Pm 145.00 Pm.upf
Ga 69.72 Ga.upf
Ir 192.22 Ir.upf
ATOMIC_POSITIONS crystal
Pm 0.000 0.260 0.500
Pm 0.500 0.740 0.000
Pm 0.000 0.740 0.500
Pm 0.500 0.260 0.000
Pm 0.000 0.000 0.000
Pm 0.500 0.744 0.500
Pm 0.500 0.256 0.500
Ga 0.838 0.500 0.838
Ga 0.162 0.500 0.162
Ir 0.707 0.000 0.293
Ir 0.293 0.000 0.707
CELL_PARAMETERS angstrom
6.826 -0.003 -0.853
0.003 7.113 0.003
-1.276 -0.002 6.760

---

Entry 19:
! PBE Pm2GaIr2, relaxed; values from VASP
! Uncorrected energy   -0.5021 Ry/atom
! Total moment   0.00 μB/f.u.
&SYSTEM
  ibrav = 0, nat = 10, ntyp = 3
/
ATOMIC_SPECIES
Pm 145.00 Pm.upf
Ga 69.72 Ga.upf
Ir 192.22 Ir.upf
ATOMIC_POSITIONS crystal
Pm 0.502 0.206 0.148
Pm 0.794 0.498 0.352
Pm 0.498 0.794 0.852
Pm 0.206 0.502 0.648
Ga 0.127 0.873 0.250
Ga 0.873 0.127 0.750
Ir 0.722 0.006 0.508
Ir 0.994 0.278 0.992
Ir 0.278 0.994 0.492
Ir 0.006 0.722 0.008
CELL_PARAMETERS angstrom
5.681 0.243 1.016
2.713 4.997 1.016
0.241 0.150 7.855

---

Entry 20:
! PBE Pm4GaIr2, relaxed; values from VASP
! Uncorrected energy   -0.4560 Ry/atom
! Total moment   0.00 μB/f.u.
&SYSTEM
  ibrav = 0, nat = 14, ntyp = 3
/
ATOMIC_SPECIES
Ir 192.22 Ir.upf
Ga 69.72 Ga.upf
Pm 145.00 Pm.upf
ATOMIC_POSITIONS crystal
Ir 0.875 0.120 0.495
Ir 0.505 0.380 0.625
Ir 0.375 0.880 0.755
Ir 0.245 0.620 0.125
Ga 0.000 0.000 0.000
Ga 0.750 0.500 0.250
Pm 0.138 0.885 0.385
Pm 0.615 0.753 0.500
Pm 0.003 0.615 0.750
Pm 0.250 0.253 0.865
Pm 0.612 0.747 0.997
Pm 0.747 0.247 0.862
Pm 0.500 0.115 0.253
Pm 0.135 0.385 0.388
CELL_PARAMETERS angstrom
-3.119 -6.256 -3.338
7.716 -0.690 -0.072
-2.402 0.639 7.337

---

Entry 21:
! PBE Pm4GaIr3, relaxed; values from VASP
! Uncorrected energy   -0.4959 Ry/atom
! Total moment   0.00 μB/f.u.
&SYSTEM
  ibrav = 0, nat = 8, ntyp = 3
/
ATOMIC_SPECIES
Ir 192.22 Ir.upf
Ga 69.72 Ga.upf
Pm 145.00 Pm.upf
ATOMIC_POSITIONS crystal
Ir 0.000 0.500 0.581
Ir 0.000 0.000 0.417
Ir 0.500 0.000 0.934
Ga 0.500 0.500 0.065
Pm 0.500 0.500 0.367
Pm 0.000 0.500 0.848
Pm 0.000 0.000 0.145
Pm 0.500 0.000 0.641
CELL_PARAMETERS angstrom
4.001 0.000 0.000
0.000 4.367 0.000
0.000 0.000 10.854

---

Entry 22:
! PBE Pm2GaIr, relaxed; values from VASP
! Uncorrected energy   -0.4278 Ry/atom
! Total moment   0.00 μB/f.u.
&SYSTEM
  ibrav = 0, nat = 8, ntyp = 3
/
ATOMIC_SPECIES
Pm 145.00 Pm.upf
Ga 69.72 Ga.upf
Ir 192.22 Ir.upf
ATOMIC_POSITIONS crystal
Pm 0.177 0.589 0.355
Pm 0.823 0.411 0.645
Pm 0.178 0.089 0.355
Pm 0.822 0.911 0.645
Ga 0.500 0.250 0.000
Ga 0.500 0.750 0.000
Ir 0.000 0.750 0.000
Ir 0.000 0.250 0.000
CELL_PARAMETERS angstrom
-0.311 4.514 -1.794
-7.423 -2.216 -4.290
-0.669 -0.327 5.897

---

Entry 23:
! PBE Pm3Ga5Ir6, relaxed; values from VASP
! Uncorrected energy   -0.4821 Ry/atom
! Total moment   0.00 μB/f.u.
&SYSTEM
  ibrav = 0, nat = 28, ntyp = 3
/
ATOMIC_SPECIES
Pm 145.00 Pm.upf
Ga 69.72 Ga.upf
Ir 192.22 Ir.upf
ATOMIC_POSITIONS crystal
Pm 0.000 0.247 0.675
Pm 0.500 0.753 0.175
Pm 0.500 0.753 0.825
Pm 0.000 0.246 0.000
Pm 0.500 0.754 0.500
Pm 0.000 0.247 0.325
Ga 0.000 0.525 0.879
Ga 0.000 0.857 0.667
Ga 0.000 0.866 0.000
Ga 0.500 0.475 0.621
Ga 0.500 0.134 0.500
Ga 0.000 0.525 0.121
Ga 0.500 0.475 0.379
Ga 0.000 0.857 0.333
Ga 0.500 0.143 0.833
Ga 0.500 0.143 0.167
Ir 0.000 0.002 0.833
Ir 0.500 0.998 0.667
Ir 0.500 0.399 0.810
Ir 0.500 0.522 0.000
Ir 0.000 0.478 0.500
Ir 0.000 0.601 0.690
Ir 0.000 0.601 0.310
Ir 0.500 0.005 0.000
Ir 0.000 0.002 0.167
Ir 0.500 0.399 0.190
Ir 0.000 0.995 0.500
Ir 0.500 0.998 0.333
CELL_PARAMETERS angstrom
-2.256 3.108 -1.821
0.574 -4.571 -8.514
-10.796 -6.286 2.647